#A
BaCo2W: relaxed, PBE.

Summary:
Its total magnetic moment is 1.8 μB per cell.

abc: 6.415 6.415 6.415
angles: 37.75 37.75 37.75
Sites, in units of the cell vectors:
Ba: 0.000 0.000 0.000
Co: 0.186 0.186 0.186
Co: 0.514 0.514 0.514
W: 0.813 0.813 0.813

#B
BaCo2W: relaxed, PBE.

Summary:
Its total magnetic moment is 2.4 μB per cell.

abc: 3.158 3.158 7.666
angles: 90.00 90.00 90.00
Sites, in units of the cell vectors:
Ba: 0.000 0.000 0.000
Co: 0.000 0.000 0.484
Co: 0.500 0.500 0.328
W: 0.500 0.500 0.634

Question: which arrangement is favored energetically? Ranking from most to least stable: #A, #B.

#A
BaCo2W: relaxed, PBE.

Summary:
Its total magnetic moment is 0.6 μB per cell.

abc: 4.157 4.157 6.322
angles: 109.08 109.08 59.99
Sites, in units of the cell vectors:
Ba: 0.000 0.000 0.000
Co: 0.191 0.191 0.572
Co: 0.809 0.809 0.428
W: 0.500 0.500 0.500

#B
BaCo2W: relaxed, PBE.

Summary:
Its total magnetic moment is 1.2 μB per cell.

abc: 4.925 4.925 2.927
angles: 90.00 90.00 90.00
Sites, in units of the cell vectors:
Ba: 0.000 0.000 0.000
Co: 0.000 0.500 0.500
Co: 0.500 0.000 0.500
W: 0.500 0.500 0.000

Question: which arrangement is favored energetically? Ranking from most to least stable: #A, #B.